Entry 1:
An optimized crystal structure of TmSc5In2. Source: Alexandria, functional PBE-GGA.

Computed properties:
- Polymorph energy (0 for the lowest one): 0.0 kJ/mol of atoms
- Energy of formation: -0.27 eV/atom
- Total energy: -5.475 eV/atom
- Spin magnetization: 2.71 μB per formula unit

```
data_TmSc5In2
_symmetry_space_group_name_H-M 'P 1'
_symmetry_Int_Tables_number 1
_symmetry_space_group_name_Hall 'P 1'
_cell_length_a 4.562
_cell_length_b 6.459
_cell_length_c 12.928
_cell_angle_alpha 90.00
_cell_angle_beta 90.00
_cell_angle_gamma 90.00
loop_
_atom_site_label
_atom_site_type_symbol
_atom_site_fract_x
_atom_site_fract_y
_atom_site_fract_z
Sc1 Sc 0.500 0.747 0.628
Sc2 Sc 0.500 0.247 0.872
Sc3 Sc 0.000 0.000 0.000
Sc4 Sc 0.000 0.500 0.500
Sc5 Sc 0.000 0.999 0.753
Sc6 Sc 0.500 0.253 0.372
Sc7 Sc 0.000 0.499 0.747
Sc8 Sc 0.500 0.753 0.128
Sc9 Sc 0.000 0.501 0.253
Sc10 Sc 0.000 0.001 0.247
Tm1 Tm 0.000 0.000 0.500
Tm2 Tm 0.000 0.500 0.000
In1 In 0.500 0.252 0.626
In2 In 0.500 0.752 0.874
In3 In 0.500 0.248 0.126
In4 In 0.500 0.748 0.374
```

Entry 2:
An optimized crystal structure of AlPRh2. Source: Alexandria, functional PBE-GGA.

Computed properties:
- Polymorph energy (0 for the lowest one): 8.5 kJ/mol of atoms
- Energy of formation: -0.58 eV/atom
- Total energy: -6.543 eV/atom
- Spin magnetization: 0.00 μB per formula unit

```
data_AlPRh2
_symmetry_space_group_name_H-M 'P 1'
_symmetry_Int_Tables_number 1
_symmetry_space_group_name_Hall 'P 1'
_cell_length_a 7.735
_cell_length_b 7.735
_cell_length_c 7.735
_cell_angle_alpha 21.81
_cell_angle_beta 21.81
_cell_angle_gamma 21.81
loop_
_atom_site_label
_atom_site_type_symbol
_atom_site_fract_x
_atom_site_fract_y
_atom_site_fract_z
Rh1 Rh 0.494 0.494 0.494
Rh2 Rh 0.006 0.006 0.006
Al1 Al 0.250 0.250 0.250
P1 P 0.750 0.750 0.750
```

Entry 3:
An optimized crystal structure of Dy4Ag3Pd. Source: Alexandria, functional PBE-GGA.

Computed properties:
- Energy of formation: -0.47 eV/atom
- Total energy: -4.489 eV/atom
- Spin magnetization: 0.00 μB per formula unit

```
data_Dy4Ag3Pd
_symmetry_space_group_name_H-M 'P 1'
_symmetry_Int_Tables_number 1
_symmetry_space_group_name_Hall 'P 1'
_cell_length_a 3.594
_cell_length_b 3.594
_cell_length_c 14.486
_cell_angle_alpha 90.00
_cell_angle_beta 90.00
_cell_angle_gamma 90.00
loop_
_atom_site_label
_atom_site_type_symbol
_atom_site_fract_x
_atom_site_fract_y
_atom_site_fract_z
Ag1 Ag 0.500 0.500 0.246
Ag2 Ag 0.500 0.500 0.500
Ag3 Ag 0.500 0.500 0.754
Dy1 Dy 0.000 0.000 0.117
Dy2 Dy 0.000 0.000 0.372
Dy3 Dy 0.000 0.000 0.883
Dy4 Dy 0.000 0.000 0.628
Pd1 Pd 0.500 0.500 0.000
```

Entry 4:
An optimized crystal structure of SrY4Be. Source: Alexandria, functional PBE-GGA.

Computed properties:
- Energy of formation: 0.65 eV/atom
- Total energy: -4.557 eV/atom
- Spin magnetization: 0.00 μB per formula unit

```
data_SrY4Be
_symmetry_space_group_name_H-M 'P 1'
_symmetry_Int_Tables_number 1
_symmetry_space_group_name_Hall 'P 1'
_cell_length_a 6.558
_cell_length_b 6.558
_cell_length_c 6.558
_cell_angle_alpha 60.00
_cell_angle_beta 60.00
_cell_angle_gamma 60.00
loop_
_atom_site_label
_atom_site_type_symbol
_atom_site_fract_x
_atom_site_fract_y
_atom_site_fract_z
Y1 Y 0.376 0.376 0.376
Y2 Y 0.376 0.871 0.376
Y3 Y 0.376 0.376 0.871
Y4 Y 0.871 0.376 0.376
Be1 Be 0.750 0.750 0.750
Sr1 Sr 0.000 0.000 0.000
```

Entry 5:
An optimized crystal structure of LaBiI2N. Source: Alexandria, functional PBE-GGA.

Computed properties:
- Polymorph energy (0 for the lowest one): 41.4 kJ/mol of atoms
- Total energy: -3.781 eV/atom
- Energy relative to the elements, uncorrected: 0.27 eV/atom
- Spin magnetization: 0.40 μB per formula unit

```
data_LaBiI2N
_symmetry_space_group_name_H-M 'P 1'
_symmetry_Int_Tables_number 1
_symmetry_space_group_name_Hall 'P 1'
_cell_length_a 6.423
_cell_length_b 6.423
_cell_length_c 4.223
_cell_angle_alpha 90.00
_cell_angle_beta 90.00
_cell_angle_gamma 90.00
loop_
_atom_site_label
_atom_site_type_symbol
_atom_site_fract_x
_atom_site_fract_y
_atom_site_fract_z
I1 I 0.000 0.500 0.000
I2 I 0.500 0.000 0.000
N1 N 0.000 0.000 0.500
Bi1 Bi 0.000 0.000 0.000
La1 La 0.500 0.500 0.500
```

Entry 6:
An optimized crystal structure of Ta2TiSiAs. Source: Alexandria, functional PBE-GGA.

Computed properties:
- Total energy: -7.409 eV/atom
- Energy relative to the elements, uncorrected: 0.93 eV/atom
- Spin magnetization: 0.00 μB per formula unit

```
data_Ta2TiSiAs
_symmetry_space_group_name_H-M 'P 1'
_symmetry_Int_Tables_number 1
_symmetry_space_group_name_Hall 'P 1'
_cell_length_a 4.715
_cell_length_b 4.622
_cell_length_c 4.715
_cell_angle_alpha 90.00
_cell_angle_beta 90.00
_cell_angle_gamma 90.00
loop_
_atom_site_label
_atom_site_type_symbol
_atom_site_fract_x
_atom_site_fract_y
_atom_site_fract_z
Ti1 Ti 0.500 0.500 0.500
Ta1 Ta 0.500 0.000 0.000
Ta2 Ta 0.000 0.000 0.500
Si1 Si 0.000 0.000 0.000
As1 As 0.000 0.500 0.000
```